Tm2SnPd: relaxed, PBE-GGA.

Geometry as POSCAR:
```
Tm2SnPd
1.0
3.522 0.000 0.000
0.000 3.522 0.000
0.000 0.000 7.520
Tm Sn Pd
2 1 1
Direct
0.000 0.000 0.222
0.000 0.000 0.778
0.500 0.500 0.500
0.500 0.500 0.000
```

Summary:
- Formation enthalpy at 0 K: -0.77 eV per atom
- Spin magnetization: 0.0 μB/f.u.
- Space-group type: P4/mmm (123)
- Crystal system: tetragonal



Tm4SnPd7: relaxed, PBE-GGA.

Geometry as POSCAR:
```
Tm4SnPd7
1.0
-1.785 -2.441 -4.152
3.759 -8.553 0.234
-4.957 -3.196 0.834
Pd Tm Sn
7 4 1
Direct
0.789 0.911 0.511
0.211 0.089 0.489
0.634 0.478 0.255
0.075 0.688 0.162
0.500 0.000 0.000
0.925 0.312 0.838
0.366 0.522 0.745
0.787 0.637 0.789
0.590 0.218 0.602
0.213 0.363 0.211
0.410 0.782 0.398
0.000 0.000 0.000
```

Summary:
- Formation enthalpy at 0 K: -0.73 eV per atom
- Spin magnetization: 0.0 μB/f.u.
- Space-group type: C2/m (12)
- Crystal system: monoclinic



Number 2 is which compound?
Tm4SnPd7



The lowest formation enthalpy at 0 K belongs to which entry?
Tm2SnPd



Look up the formation enthalpy at 0 K of the first one.
-0.77 eV per atom



The lowest formation enthalpy at 0 K belongs to which entry?
Tm2SnPd